No. 1
A plane-wave DFT calculation with PBE was carried out for a relaxed AcPuRh2 crystal.

## Properties
DOS(E_F) = 2.867 states/eV/atom
energy of formation = -401 meV/atom
size of the total moment = 4.75 μB/f.u.
theoretical density = 12.31 g cm⁻³
relative energy among the computed polymorphs = 0.1661 eV per atom

Structure (CIF):
```
data_AcPuRh2
_chemical_formula_sum 'Ac4 Pu4 Rh8'
_space_group_name_H-M_alt 'F m -3 m'
_space_group_IT_number 225
_space_group_name_Hall '-F 4 2 3'
_cell_length_a 7.1477
_cell_length_b 7.1477
_cell_length_c 7.1477
_cell_angle_alpha 90.00
_cell_angle_beta 90.00
_cell_angle_gamma 90.00
loop_
_atom_site_label
_atom_site_type_symbol
_atom_site_fract_x
_atom_site_fract_y
_atom_site_fract_z
Ac1 Ac 0.0000 0.0000 0.0000
Pu1 Pu 0.0000 0.0000 0.5000
Rh1 Rh 0.2500 0.2500 0.2500
```

=====

No. 2
A plane-wave DFT calculation with PBE was carried out for a relaxed AcPuRh2 crystal.

## Properties
DOS(E_F) = 2.149 states/eV/atom
energy of formation = -273 meV/atom
size of the total moment = 5.00 μB/f.u.
theoretical density = 10.95 g cm⁻³
relative energy among the computed polymorphs = 0.2941 eV per atom

Structure (CIF):
```
data_AcPuRh2
_chemical_formula_sum 'Ac2 Pu2 Rh4'
_space_group_name_H-M_alt 'C 1 m 1'
_space_group_IT_number 8
_cell_length_a 14.0289
_cell_length_b 3.9011
_cell_length_c 3.9010
_cell_angle_alpha 90.00
_cell_angle_beta 106.04
_cell_angle_gamma 90.00
loop_
_space_group_symop_operation_xyz
'x,y,z'
'x,-y,z'
'x+1/2,y+1/2,z'
'x+1/2,-y+1/2,z'
loop_
_atom_site_label
_atom_site_type_symbol
_atom_site_fract_x
_atom_site_fract_y
_atom_site_fract_z
Ac1 Ac 0.0000 0.0000 0.0000
Pu1 Pu 0.2500 0.5000 0.2481
Rh1 Rh 0.1138 0.5000 0.6133
Rh2 Rh 0.3862 0.0000 0.3878
```

=====

No. 3
A plane-wave DFT calculation with PBE was carried out for a relaxed AcPuRh2 crystal.

## Properties
DOS(E_F) = 3.085 states/eV/atom
energy of formation = -431 meV/atom
size of the total moment = 4.73 μB/f.u.
theoretical density = 12.34 g cm⁻³
relative energy among the computed polymorphs = 0.1360 eV per atom

Structure (CIF):
```
data_AcPuRh2
_chemical_formula_sum 'Ac1 Pu1 Rh2'
_space_group_name_H-M_alt 'P 4/m m m'
_space_group_IT_number 123
_space_group_name_Hall '-P 4 2'
_cell_length_a 3.5421
_cell_length_b 3.5421
_cell_length_c 7.2586
_cell_angle_alpha 90.00
_cell_angle_beta 90.00
_cell_angle_gamma 90.00
loop_
_atom_site_label
_atom_site_type_symbol
_atom_site_fract_x
_atom_site_fract_y
_atom_site_fract_z
Ac1 Ac 0.0000 0.0000 0.0000
Pu1 Pu 0.0000 0.0000 0.5000
Rh1 Rh 0.5000 0.5000 0.2882
```

=====

No. 4
A plane-wave DFT calculation with PBE was carried out for a relaxed AcPuRh2 crystal.

## Properties
DOS(E_F) = 1.829 states/eV/atom
energy of formation = -345 meV/atom
size of the total moment = 4.95 μB/f.u.
theoretical density = 10.54 g cm⁻³
relative energy among the computed polymorphs = 0.2222 eV per atom

Structure (CIF):
```
data_AcPuRh2
_chemical_formula_sum 'Ac4 Pu4 Rh8'
_space_group_name_H-M_alt 'C 1 2/m 1'
_space_group_IT_number 12
_cell_length_a 5.9757
_cell_length_b 5.9758
_cell_length_c 11.9408
_cell_angle_alpha 90.00
_cell_angle_beta 90.00
_cell_angle_gamma 90.00
loop_
_space_group_symop_operation_xyz
'x,y,z'
'-x,-y,-z'
'-x,y,-z'
'x,-y,z'
'x+1/2,y+1/2,z'
'-x+1/2,-y+1/2,-z'
'-x+1/2,y+1/2,-z'
'x+1/2,-y+1/2,z'
loop_
_atom_site_label
_atom_site_type_symbol
_atom_site_fract_x
_atom_site_fract_y
_atom_site_fract_z
Ac1 Ac 0.2491 0.0000 0.3732
Pu1 Pu 0.2502 0.0000 0.8583
Rh1 Rh 0.0000 0.2499 0.0000
Rh2 Rh 0.2488 0.5000 0.3657
```

=====

No. 5
A plane-wave DFT calculation with PBE was carried out for a relaxed Ac3Pu2Rh4 crystal.

## Properties
DOS(E_F) = 1.648 states/eV/atom
energy of formation = -543 meV/atom
size of the total moment = 10.44 μB/f.u.
theoretical density = 11.12 g cm⁻³

Structure (CIF):
```
data_Ac3Pu2Rh4
_chemical_formula_sum 'Ac6 Pu4 Rh8'
_space_group_name_H-M_alt 'C 1 2/m 1'
_space_group_IT_number 12
_cell_length_a 11.9412
_cell_length_b 4.2954
_cell_length_c 9.3687
_cell_angle_alpha 90.00
_cell_angle_beta 100.79
_cell_angle_gamma 90.00
loop_
_space_group_symop_operation_xyz
'x,y,z'
'-x,-y,-z'
'-x,y,-z'
'x,-y,z'
'x+1/2,y+1/2,z'
'-x+1/2,-y+1/2,-z'
'-x+1/2,y+1/2,-z'
'x+1/2,-y+1/2,z'
loop_
_atom_site_label
_atom_site_type_symbol
_atom_site_fract_x
_atom_site_fract_y
_atom_site_fract_z
Ac1 Ac 0.0000 0.0000 0.0000
Ac2 Ac 0.1204 0.5000 0.3868
Pu1 Pu 0.1823 0.5000 0.7916
Rh1 Rh 0.0836 0.0000 0.6399
Rh2 Rh 0.2018 0.5000 0.0891
```

=====

No. 6
A plane-wave DFT calculation with PBE was carried out for a relaxed AcPu2Rh2 crystal.

## Properties
DOS(E_F) = 2.924 states/eV/atom
energy of formation = -378 meV/atom
size of the total moment = 11.02 μB/f.u.
theoretical density = 12.24 g cm⁻³

Structure (CIF):
```
data_AcPu2Rh2
_chemical_formula_sum 'Ac2 Pu4 Rh4'
_space_group_name_H-M_alt 'I 4/m m m'
_space_group_IT_number 139
_space_group_name_Hall '-I 4 2'
_cell_length_a 4.4224
_cell_length_b 4.4224
_cell_length_c 12.7763
_cell_angle_alpha 90.00
_cell_angle_beta 90.00
_cell_angle_gamma 90.00
loop_
_atom_site_label
_atom_site_type_symbol
_atom_site_fract_x
_atom_site_fract_y
_atom_site_fract_z
Ac1 Ac 0.0000 0.0000 0.0000
Pu1 Pu 0.0000 0.5000 0.2500
Rh1 Rh 0.0000 0.0000 0.3957
```

=====

No. 7
A plane-wave DFT calculation with PBE was carried out for a relaxed Ac3PuRh8 crystal.

## Properties
DOS(E_F) = 1.532 states/eV/atom
energy of formation = -530 meV/atom
size of the total moment = 4.90 μB/f.u.
theoretical density = 12.33 g cm⁻³

Structure (CIF):
```
data_Ac3PuRh8
_chemical_formula_sum 'Ac9 Pu3 Rh24'
_space_group_name_H-M_alt 'R 3 m'
_space_group_IT_number 160
_space_group_name_Hall 'R 3 -2"'
_cell_length_a 5.4946
_cell_length_b 5.4946
_cell_length_c 27.0146
_cell_angle_alpha 90.00
_cell_angle_beta 90.00
_cell_angle_gamma 120.00
loop_
_atom_site_label
_atom_site_type_symbol
_atom_site_fract_x
_atom_site_fract_y
_atom_site_fract_z
Ac1 Ac 0.0000 0.0000 0.0000
Ac2 Ac 0.0000 0.0000 0.1264
Ac3 Ac 0.0000 0.0000 0.5053
Pu1 Pu 0.0000 0.0000 0.6284
Rh1 Rh 0.0000 0.0000 0.3142
Rh2 Rh 0.0000 0.0000 0.8146
Rh3 Rh 0.0000 0.5000 0.5664
Rh4 Rh 0.1679 0.3357 0.3962
```

=====

No. 8
A plane-wave DFT calculation with PBE was carried out for a relaxed Ac2PuRh3 crystal.

## Properties
DOS(E_F) = 1.509 states/eV/atom
energy of formation = -503 meV/atom
size of the total moment = 4.88 μB/f.u.
theoretical density = 10.84 g cm⁻³

Structure (CIF):
```
data_Ac2PuRh3
_chemical_formula_sum 'Ac8 Pu4 Rh12'
_space_group_name_H-M_alt 'C 1 2/c 1'
_space_group_IT_number 15
_cell_length_a 12.8095
_cell_length_b 5.9132
_cell_length_c 8.6530
_cell_angle_alpha 90.00
_cell_angle_beta 109.77
_cell_angle_gamma 90.00
loop_
_space_group_symop_operation_xyz
'x,y,z'
'-x,-y,-z'
'-x,y,-z+1/2'
'x,-y,z+1/2'
'x+1/2,y+1/2,z'
'-x+1/2,-y+1/2,-z'
'-x+1/2,y+1/2,-z+1/2'
'x+1/2,-y+1/2,z+1/2'
loop_
_atom_site_label
_atom_site_type_symbol
_atom_site_fract_x
_atom_site_fract_y
_atom_site_fract_z
Ac1 Ac 0.1692 0.0009 0.0846
Pu1 Pu 0.0000 0.4979 0.2500
Rh1 Rh 0.0000 0.0028 0.7500
Rh2 Rh 0.1336 0.4990 0.5669
```

=====

No. 9
A plane-wave DFT calculation with PBE was carried out for a relaxed Ac5PuRh4 crystal.

## Properties
DOS(E_F) = 1.625 states/eV/atom
energy of formation = -524 meV/atom
size of the total moment = 5.02 μB/f.u.
theoretical density = 9.44 g cm⁻³

Structure (CIF):
```
data_Ac5PuRh4
_chemical_formula_sum 'Ac10 Pu2 Rh8'
_space_group_name_H-M_alt 'C 1 2/m 1'
_space_group_IT_number 12
_cell_length_a 18.4226
_cell_length_b 4.3177
_cell_length_c 8.1871
_cell_angle_alpha 90.00
_cell_angle_beta 104.63
_cell_angle_gamma 90.00
loop_
_space_group_symop_operation_xyz
'x,y,z'
'-x,-y,-z'
'-x,y,-z'
'x,-y,z'
'x+1/2,y+1/2,z'
'-x+1/2,-y+1/2,-z'
'-x+1/2,y+1/2,-z'
'x+1/2,-y+1/2,z'
loop_
_atom_site_label
_atom_site_type_symbol
_atom_site_fract_x
_atom_site_fract_y
_atom_site_fract_z
Ac1 Ac 0.0000 0.0000 0.0000
Ac2 Ac 0.1625 0.5000 0.8343
Ac3 Ac 0.1661 0.5000 0.3491
Pu1 Pu 0.0000 0.0000 0.5000
Rh1 Rh 0.0006 0.5000 0.2711
Rh2 Rh 0.1659 0.0000 0.6006
```

=====

No. 10
A plane-wave DFT calculation with PBE was carried out for a relaxed AcPu2Rh9 crystal.

## Properties
DOS(E_F) = 2.221 states/eV/atom
energy of formation = -404 meV/atom
size of the total moment = 8.18 μB/f.u.
theoretical density = 12.62 g cm⁻³

Structure (CIF):
```
data_AcPu2Rh9
_chemical_formula_sum 'Ac3 Pu6 Rh27'
_space_group_name_H-M_alt 'R -3 m'
_space_group_IT_number 166
_space_group_name_Hall '-R 3 2"'
_cell_length_a 5.3235
_cell_length_b 5.3235
_cell_length_c 26.3877
_cell_angle_alpha 90.00
_cell_angle_beta 90.00
_cell_angle_gamma 120.00
loop_
_atom_site_label
_atom_site_type_symbol
_atom_site_fract_x
_atom_site_fract_y
_atom_site_fract_z
Ac1 Ac 0.0000 0.0000 0.0000
Pu1 Pu 0.0000 0.0000 0.1407
Rh1 Rh 0.0000 0.0000 0.3335
Rh2 Rh 0.0000 0.0000 0.5000
Rh3 Rh 0.0038 0.5019 0.9149
```